# Hg3BPt

A PBEsol-optimized structure of Hg3BPt (SCAN, the Alexandria database).

```
5
Lattice="5.154 0.000 0.000 0.000 5.154 0.000 0.000 0.000 5.154" Properties=species:S:1:pos:R:3 pbc="T T T"
Hg 0.000 0.000 2.577
Hg 0.000 2.577 0.000
Hg 2.577 0.000 0.000
B 2.577 2.577 2.577
Pt 0.000 0.000 0.000
```

Summary:
calculated formation energy = 1079 meV per atom
final energy = -276.72 eV/cell
M_tot = 0.004 μB/cell
space-group type = Pm-3m (221)